Record 1
Here is a geometry-optimized SrTeF2 structure from the Alexandria database. Energies are from GGA-PBEsol.

Unit cell a=3.6044 b=3.6044 c=9.8120 alpha=79.42 beta=79.42 gamma=60.00
Site moments in Bohr magnetons follow the coordinates.
Positions (direct):
F 0.8717 0.8717 0.3848  0.00
F 0.1283 0.1283 0.6152  0.00
Te 0.0000 0.0000 0.0000  0.25
Sr 0.5000 0.5000 0.5000  0.00

Calculated values
The calculation puts the density of states at the Fermi level at 1.698 states/eV/cell. Its total magnetic moment is 0.47 Bohr magnetons per cell. The calculation puts the uncorrected formation energy at -241.2 kJ per mole of atoms. The crystal system is trigonal.



Record 2
Here is a geometry-optimized CdHgPb structure from the Alexandria database. Energies are from GGA-PBEsol.

Unit cell a=3.2982 b=3.2982 c=7.9591 alpha=96.53 beta=96.53 gamma=116.82
Positions (direct):
Pb 0.6665 0.6665 0.3330
Hg 0.3396 0.3396 0.6792
Cd 0.9939 0.9939 0.9878

Calculated values
The calculation puts the density of states at the Fermi level at 1.285 states/eV/cell. Its total magnetic moment is 0.00 Bohr magnetons per cell. The calculation puts the formation energy at 1.39 kcal/mol of atoms. The crystal system is orthorhombic.



Question: Which formula does entry 2 have?
Answer: CdHgPb



Repeat the second record exactly.
Here is a geometry-optimized CdHgPb structure from the Alexandria database. Energies are from GGA-PBEsol.

Unit cell a=3.2982 b=3.2982 c=7.9591 alpha=96.53 beta=96.53 gamma=116.82
Positions (direct):
Pb 0.6665 0.6665 0.3330
Hg 0.3396 0.3396 0.6792
Cd 0.9939 0.9939 0.9878

Calculated values
The calculation puts the density of states at the Fermi level at 1.285 states/eV/cell. Its total magnetic moment is 0.00 Bohr magnetons per cell. The calculation puts the formation energy at 1.39 kcal/mol of atoms. The crystal system is orthorhombic.



Question: Among the records above, which one has the highest total magnetic moment?
Answer: SrTeF2